# 1
# InSb2Te2

An optimized crystal structure of InSb2Te2 (GGA-PBE, Alexandria).

**Energy relative to the elements, uncorrected**: 0.102 eV/atom
**Space-group type**: P4/mbm (127)
**Distance to the lowest polymorph of the same formula**: 0.0715 eV per atom

Cell lengths 8.9884, 8.9884, 3.9653 Å; angles 90.00, 90.00, 90.00 degrees
Last column: nearest neighbours and their distance in Å.
Fractional coordinates of all 10 atoms:
Sb 0.1768 0.6768 0.5000  2 Te 2.91
Sb 0.6768 0.8232 0.5000  2 Te 2.91
Sb 0.8232 0.3232 0.5000  2 Te 2.91
Sb 0.3232 0.1768 0.5000  2 Te 2.91
Te 0.3439 0.8439 0.0000  2 Sb 2.91
Te 0.8439 0.6561 0.0000  2 Sb 2.91
Te 0.6561 0.1561 0.0000  2 Sb 2.91
Te 0.1561 0.3439 0.0000  2 Sb 2.91
In 0.0000 0.0000 0.0000  4 Te 3.39
In 0.5000 0.5000 0.0000  4 Te 3.39



# 2
# TcHgCl2

An optimized crystal structure of TcHgCl2 (GGA-PBE, Alexandria).

**Energy relative to the elements, uncorrected**: -0.103 eV/atom
**Space-group type**: P2/m (10)
**Distance to the lowest polymorph of the same formula**: 0.0435 eV per atom

Cell lengths 3.2798, 3.1739, 10.0827 Å; angles 90.88, 90.00, 90.00 degrees
Last column: nearest neighbours and their distance in Å.
Fractional coordinates of all 4 atoms:
Cl 0.0000 0.7592 0.9220  2 Tc 2.39
Cl 0.0000 0.7408 0.5780  2 Tc 2.39
Hg 0.5000 0.2500 0.2500  4 Hg 3.17-3.28
Tc 0.5000 0.7500 0.7500  4 Cl 2.39



# 3
# GdInNiIr

An optimized crystal structure of GdInNiIr (GGA-PBE, Alexandria).

**Space-group type**: F-43m (216)
**Calculated formation energy**: -390 meV/atom

Cell lengths 4.7089, 4.7089, 4.7089 Å; angles 60.00, 60.00, 60.00 degrees
Last column: nearest neighbours and their distance in Å.
Fractional coordinates of all 4 atoms:
Gd 0.5000 0.5000 0.5000  4 Ir 2.88, 4 Ni 2.88
Ni 0.7500 0.7500 0.7500  4 In 2.88, 4 Gd 2.88
Ir 0.2500 0.2500 0.2500  4 Gd 2.88, 4 In 2.88
In 0.0000 0.0000 0.0000  4 Ni 2.88, 4 Ir 2.88



# 4
# ScIn2AgCl6

An optimized crystal structure of ScIn2AgCl6 (GGA-PBE, Alexandria).

**Energy relative to the elements, uncorrected**: -1.267 eV/atom
**Space-group type**: P2_1/c (14)

Cell lengths 7.1713, 7.4625, 10.2725 Å; angles 90.00, 89.31, 90.00 degrees
Last column: nearest neighbours and their distance in Å.
Fractional coordinates of all 20 atoms:
Sc 0.5000 0.0000 0.5000  6 Cl 2.51
Sc 0.0000 0.5000 0.0000  6 Cl 2.51
In 0.0156 0.9331 0.2529  8 Cl 3.19-3.53
In 0.5156 0.5669 0.7529  8 Cl 3.19-3.53
In 0.9844 0.0669 0.7471  8 Cl 3.19-3.53
In 0.4844 0.4331 0.2471  8 Cl 3.19-3.53
Ag 0.5000 0.0000 0.0000  6 Cl 2.75-2.81
Ag 0.0000 0.5000 0.5000  6 Cl 2.75-2.81
Cl 0.2852 0.6881 0.0364  1 Sc 2.51
Cl 0.7852 0.8119 0.5364  1 Sc 2.51
Cl 0.7148 0.3119 0.9636  1 Sc 2.51
Cl 0.2148 0.1881 0.4636  1 Sc 2.51
Cl 0.3131 0.7204 0.4622  1 Sc 2.51, 1 Ag 2.81
Cl 0.8131 0.7796 0.9622  1 Sc 2.51, 1 Ag 2.81
Cl 0.6869 0.2796 0.5378  1 Sc 2.51, 1 Ag 2.81
Cl 0.1869 0.2204 0.0378  1 Sc 2.51, 1 Ag 2.81
Cl 0.9214 0.5147 0.2389  1 Sc 2.51, 1 Ag 2.75
Cl 0.4214 0.9853 0.7389  1 Sc 2.51, 1 Ag 2.75
Cl 0.0786 0.4853 0.7611  1 Sc 2.51, 1 Ag 2.75
Cl 0.5786 0.0147 0.2611  1 Sc 2.51, 1 Ag 2.75



# 5
# GeIN2O

An optimized crystal structure of GeIN2O (GGA-PBE, Alexandria).

**Energy relative to the elements, uncorrected**: 1.274 eV/atom
**Space-group type**: P4/mmm (123)

Cell lengths 3.5744, 3.5744, 7.5110 Å; angles 90.00, 90.00, 90.00 degrees
Last column: nearest neighbours and their distance in Å.
Fractional coordinates of all 5 atoms:
I 0.0000 0.0000 0.5000  4 O 2.53
Ge 0.0000 0.0000 0.0000  4 N 1.79
O 0.5000 0.5000 0.5000  4 I 2.53
N 0.0000 0.5000 0.0000  2 Ge 1.79
N 0.5000 0.0000 0.0000  2 Ge 1.79



# 6
# AlAgP2

An optimized crystal structure of AlAgP2 (GGA-PBE, Alexandria).

**Space-group type**: Pna2_1 (33)
**Calculated formation energy**: -128 meV/atom

Cell lengths 5.5734, 7.0051, 8.0774 Å; angles 90.00, 90.00, 90.00 degrees
Last column: nearest neighbours and their distance in Å.
Fractional coordinates of all 16 atoms:
Ag 0.9762 0.0357 0.7004  3 P 2.50-2.58
Ag 0.0238 0.5357 0.2996  3 P 2.50-2.58
Ag 0.4762 0.0357 0.7996  3 P 2.50-2.58
Ag 0.5238 0.5357 0.2004  3 P 2.50-2.58
Al 0.8363 0.9997 0.1021  4 P 2.37-2.43
Al 0.1637 0.4997 0.8979  4 P 2.37-2.43
Al 0.3363 0.9997 0.3979  4 P 2.37-2.43
Al 0.6637 0.4997 0.6021  4 P 2.37-2.43
P 0.8595 0.3408 0.0583  1 P 2.26, 2 Al 2.41-2.42
P 0.1405 0.8408 0.9417  1 P 2.26, 2 Al 2.41-2.42
P 0.3595 0.3408 0.4417  1 P 2.26, 2 Al 2.41-2.42
P 0.6405 0.8408 0.5583  1 P 2.26, 2 Al 2.41-2.42
P 0.0582 0.3759 0.6269  1 P 2.26, 2 Al 2.37-2.43, 1 Ag 2.50
P 0.9418 0.8759 0.3731  1 P 2.26, 2 Al 2.37-2.43, 1 Ag 2.50
P 0.5582 0.3759 0.8731  1 P 2.26, 2 Al 2.37-2.43, 1 Ag 2.50
P 0.4418 0.8759 0.1269  1 P 2.26, 2 Al 2.37-2.43, 1 Ag 2.50



# 7
# Pb2Au2Br

An optimized crystal structure of Pb2Au2Br (GGA-PBE, Alexandria).

**Energy relative to the elements, uncorrected**: -0.168 eV/atom
**Space-group type**: I4/mmm (139)
**Distance to the lowest polymorph of the same formula**: 0.0078 eV per atom

Cell lengths 4.0091, 4.0091, 8.8713 Å; angles 76.94, 76.94, 90.00 degrees
Last column: nearest neighbours and their distance in Å.
Fractional coordinates of all 5 atoms:
Pb 0.3855 0.3855 0.2291  4 Au 3.03
Pb 0.6145 0.6145 0.7709  4 Au 3.03
Au 0.7500 0.2500 0.5000  4 Au 2.83, 4 Pb 3.03
Au 0.2500 0.7500 0.5000  4 Au 2.83, 4 Pb 3.03
Br 0.0000 0.0000 0.0000  8 Pb 3.43



# 8
# Sr3Cu2O6

An optimized crystal structure of Sr3Cu2O6 (GGA-PBE, Alexandria).

**Energy relative to the elements, uncorrected**: -1.752 eV/atom
**Space-group type**: I4/mmm (139)

Cell lengths 3.8504, 3.8504, 10.5572 Å; angles 100.51, 100.51, 90.00 degrees
Last column: nearest neighbours and their distance in Å.
Fractional coordinates of all 11 atoms:
Sr 0.0000 0.0000 0.0000  8 O 2.58
Sr 0.8195 0.8195 0.6389  9 O 2.48-2.75
Sr 0.1805 0.1805 0.3611  9 O 2.48-2.75
Cu 0.4002 0.4002 0.8004  5 O 1.95-2.00
Cu 0.5998 0.5998 0.1996  5 O 1.95-2.00
O 0.0845 0.5845 0.1690  2 Cu 1.95
O 0.5845 0.0845 0.1690  2 Cu 1.95
O 0.9155 0.4155 0.8310  2 Cu 1.95
O 0.4155 0.9155 0.8310  2 Cu 1.95
O 0.6978 0.6978 0.3956  1 Cu 2.00
O 0.3022 0.3022 0.6044  1 Cu 2.00



# 9
# Tb6DyY2

An optimized crystal structure of Tb6DyY2 (GGA-PBE, Alexandria).

**Space-group type**: P-1 (2)
**Distance to the lowest polymorph of the same formula**: 0.0000 eV per atom
**Calculated formation energy**: 17 meV/atom

Cell lengths 3.5641, 8.7154, 12.8326 Å; angles 132.78, 82.01, 90.07 degrees
Last column: nearest neighbours and their distance in Å.
Fractional coordinates of all 9 atoms:
Tb 0.8882 0.5549 0.2230  7 Tb 3.55-3.57, 1 Dy 3.55, 4 Y 3.56-3.57
Tb 0.1118 0.4451 0.7770  7 Tb 3.55-3.57, 1 Dy 3.55, 4 Y 3.56-3.57
Tb 0.6667 0.6673 0.6670  9 Tb 3.55-3.57, 1 Y 3.56, 2 Dy 3.56
Tb 0.7775 0.1114 0.4450  10 Tb 3.55-3.57, 2 Y 3.57
Tb 0.2225 0.8886 0.5550  10 Tb 3.55-3.57, 2 Y 3.57
Tb 0.3333 0.3327 0.3330  9 Tb 3.55-3.57, 1 Y 3.56, 2 Dy 3.56
Dy 0.0000 0.0000 0.0000  6 Tb 3.55-3.56, 4 Y 3.56, 2 Dy 3.56
Y 0.4439 0.7776 0.1111  7 Tb 3.56-3.57, 3 Y 3.56, 2 Dy 3.56
Y 0.5561 0.2224 0.8889  7 Tb 3.56-3.57, 3 Y 3.56, 2 Dy 3.56



# 10
# PuBeAu2

An optimized crystal structure of PuBeAu2 (GGA-PBE, Alexandria).

**Space-group type**: R-3m (166)
**Distance to the lowest polymorph of the same formula**: 0.0281 eV per atom
**Calculated formation energy**: -214 meV/atom

Cell lengths 4.2400, 4.2400, 5.7124 Å; angles 68.22, 68.22, 60.00 degrees
Last column: nearest neighbours and their distance in Å.
Fractional coordinates of all 4 atoms:
Be 0.0000 0.0000 0.0000  6 Au 2.55
Au 0.2874 0.2874 0.1379  3 Be 2.55, 3 Au 2.83
Au 0.7126 0.7126 0.8621  3 Be 2.55, 3 Au 2.83
Pu 0.5000 0.5000 0.5000  8 Au 3.08-3.29



# 11
# Sr2HgAs2

An optimized crystal structure of Sr2HgAs2 (GGA-PBE, Alexandria).

**Space-group type**: I4/mmm (139)
**Calculated formation energy**: -671 meV/atom

Cell lengths 5.8911, 5.8911, 6.3272 Å; angles 62.26, 62.26, 90.00 degrees
Last column: nearest neighbours and their distance in Å.
Fractional coordinates of all 5 atoms:
Sr 0.7500 0.2500 0.5000  4 As 3.15
Sr 0.2500 0.7500 0.5000  4 As 3.15
As 0.3663 0.3663 0.2673  1 As 2.55
As 0.6337 0.6337 0.7327  1 As 2.55
Hg 0.0000 0.0000 0.0000  2 As 3.49, 8 Sr 3.79



# 12
# Ti2CuW2

An optimized crystal structure of Ti2CuW2 (GGA-PBE, Alexandria).

**Space-group type**: I4/mmm (139)
**Distance to the lowest polymorph of the same formula**: 0.5511 eV per atom
**Calculated formation energy**: 972 meV/atom

Cell lengths 3.5749, 3.5749, 7.1073 Å; angles 75.43, 75.43, 90.00 degrees
Last column: nearest neighbours and their distance in Å.
Fractional coordinates of all 5 atoms:
Cu 0.0000 0.0000 0.0000  8 W 2.80
W 0.4097 0.4097 0.1806  1 W 2.40
W 0.5903 0.5903 0.8194  1 W 2.40
Ti 0.7500 0.2500 0.5000  4 Ti 2.53, 4 W 2.77
Ti 0.2500 0.7500 0.5000  4 Ti 2.53, 4 W 2.77